Entry 1:
Compound: ThMnCl
Source: Alexandria
Functional: PBE-GGA
Structure: relaxed

abc: 4.021 4.021 11.424
angles: 90.44 99.13 121.82
Fractional coordinates of all 6 atoms:
Th  0.881  0.444  0.325
Th  0.119  0.556  0.675
Mn  0.310  0.171  0.480
Mn  0.690  0.829  0.520
Cl  0.560  0.284  0.844
Cl  0.440  0.716  0.156

Properties
- Raw formation energy: -933 meV/atom

=====

Entry 2:
Compound: TiMnCl3
Source: Alexandria
Functional: PBE-GGA
Structure: relaxed

abc: 4.558 4.558 4.558
angles: 90.00 90.00 90.00
Fractional coordinates of all 5 atoms:
Cl  0.000  0.500  0.000
Cl  0.000  0.000  0.500
Cl  0.500  0.000  0.000
Mn  0.000  0.000  0.000
Ti  0.500  0.500  0.500

Properties
- Raw formation energy: 228 meV/atom
- Energy above the most stable polymorph in this dataset: 782.3 meV per atom

=====

Entry 3:
Compound: Ti3MnCl
Source: Alexandria
Functional: PBE-GGA
Structure: relaxed

abc: 4.573 4.573 4.573
angles: 90.00 90.00 90.00
Fractional coordinates of all 5 atoms:
Cl  0.500  0.500  0.500
Mn  0.000  0.000  0.000
Ti  0.000  0.500  0.000
Ti  0.000  0.000  0.500
Ti  0.500  0.000  0.000

Properties
- Raw formation energy: 433 meV/atom
- Energy above the most stable polymorph in this dataset: 33.1 meV per atom

=====

Entry 4:
Compound: Ti2MnCl
Source: Alexandria
Functional: PBE-GGA
Structure: relaxed

abc: 5.315 5.315 6.804
angles: 67.01 67.01 90.00
Fractional coordinates of all 8 atoms:
Cl  0.500  0.500  0.000
Cl  0.250  0.750  0.500
Mn  0.000  0.000  0.000
Mn  0.750  0.250  0.500
Ti  0.676  0.125  0.250
Ti  0.074  0.625  0.250
Ti  0.375  0.324  0.750
Ti  0.875  0.926  0.750

Properties
- Raw formation energy: 378 meV/atom
- Energy above the most stable polymorph in this dataset: 59.0 meV per atom